A crystal of ScIn2Mo relaxed with PBEsol. Source: the Alexandria database, functional SCAN.

Cell: 5.184 3.023 5.362 Å, 90.00 111.37 90.00°
Fractional positions:
Sc  0.000  0.000  0.000
In  0.500  0.000  0.500
In  0.500  0.500  0.000
Mo  0.000  0.500  0.500

* ΔH_f (0 K): 9 kJ per mole of atoms
* Fermi-level density of states: 2.6 states/eV per cell
* relative energy among the computed polymorphs: 258 meV per atom
* E_tot: -28.880 eV per atom
* size of the total moment: 0.00 μB/f.u.